# 1
Here is an optimized crystal structure of Tb2PrY3P6 from Alexandria via LeMat-Bulk. Energies are from PBE-GGA.

Structure (CIF):
```
data_Tb2PrY3P6
_cell_length_a 7.0180
_cell_length_b 7.0180
_cell_length_c 7.0180
_cell_angle_alpha 99.59
_cell_angle_beta 99.59
_cell_angle_gamma 120.00
_symmetry_space_group_name_H-M 'P 1'
_symmetry_Int_Tables_number 1
loop_
_symmetry_equiv_pos_as_xyz
'x,y,z'
loop_
_atom_site_label
_atom_site_fract_x
_atom_site_fract_y
_atom_site_fract_z
_atom_site_occupancy
Tb1 0.1670 0.8330 0.0000 1
Tb2 0.8330 0.1670 0.0000 1
Pr1 0.5000 0.5000 0.0000 1
Y1 0.0000 0.0000 0.5000 1
Y2 0.3344 0.6656 0.5000 1
Y3 0.6656 0.3344 0.5000 1
P1 0.0763 0.4152 0.7458 1
P2 0.2456 0.2456 0.2537 1
P3 0.4152 0.0763 0.7458 1
P4 0.5848 0.9237 0.2542 1
P5 0.7544 0.7544 0.7463 1
P6 0.9237 0.5848 0.2542 1
```

Results
* total moment: 0.00 μB per formula unit
* energy: -7.087 eV/atom
* ΔH_f (0 K): -1.60 eV per atom
* V: 23.52 Å³/atom
* space group: No. 12

---

# 2
Here is an optimized crystal structure of Pu2Co3H12Pd from Alexandria via LeMat-Bulk. Energies are from PBE-GGA.

Structure (CIF):
```
data_Pu2Co3H12Pd
_cell_length_a 5.9253
_cell_length_b 5.9253
_cell_length_c 5.9253
_cell_angle_alpha 57.91
_cell_angle_beta 57.91
_cell_angle_gamma 57.91
_symmetry_space_group_name_H-M 'P 1'
_symmetry_Int_Tables_number 1
loop_
_symmetry_equiv_pos_as_xyz
'x,y,z'
loop_
_atom_site_label
_atom_site_fract_x
_atom_site_fract_y
_atom_site_fract_z
_atom_site_occupancy
Pu1 0.1129 0.1129 0.1129 1
Pu2 0.8871 0.8871 0.8871 1
Co1 0.0000 0.5000 0.5000 1
Co2 0.5000 0.0000 0.5000 1
Co3 0.5000 0.5000 0.0000 1
H1 0.1154 0.6063 0.6063 1
H2 0.1698 0.1698 0.6268 1
H3 0.1698 0.6268 0.1698 1
H4 0.3732 0.8302 0.8302 1
H5 0.3937 0.3937 0.8846 1
H6 0.3937 0.8846 0.3937 1
H7 0.6063 0.1154 0.6063 1
H8 0.6063 0.6063 0.1154 1
H9 0.6268 0.1698 0.1698 1
H10 0.8302 0.3732 0.8302 1
H11 0.8302 0.8302 0.3732 1
H12 0.8846 0.3937 0.3937 1
Pd1 0.5000 0.5000 0.5000 1
```

Results
* total moment: 12.20 μB per formula unit
* energy: -5.439 eV/atom
* V: 7.78 Å³/atom
* space group: No. 166

---

- Which of these has the highest energy?
  Pu2Co3H12Pd